BaLiMn2: optimized geometry, PBE.

a = 4.5367 Å, b = 3.2628 Å, c = 6.9428 Å
α = 75.99°, β = 90.00°, γ = 90.00°
Closest atoms and distances in Å follow each position.
Sites, in units of the cell vectors:
1 Mn 0.0000 0.9502 0.9139  2 Mn 2.62-2.89, 2 Li 2.69
2 Mn 0.0000 0.5498 0.5861  2 Mn 2.62-2.89, 2 Li 2.69
3 Ba 0.5000 0.2500 0.2500  2 Ba 3.26, 2 Li 3.46, 8 Mn 3.56-3.64
4 Li 0.5000 0.7500 0.7500  4 Mn 2.69

The space-group type is P2/m. As for the energy: -4.8529 eV per atom. The value obtained for the energy of formation is 0.691 eV per atom. As for the energy relative to the lowest polymorph listed for this composition: 269 meV per atom. The calculation puts the total moment at 7.85 μB/f.u. The calculation puts the calculated volume at 100 Å³/cell.